Below is a geometry-optimized NaLi7Sn4 structure, with properties calculated at the PBE level.

a b c (Å): 4.9771 8.3844 7.0900
angles (deg): 79.83 69.45 72.73
Last column: nearest neighbours and their distance in Å.
Positions (direct):
Na  0.0000  0.0000  0.0000  2 Li 2.49
Li  0.7839  0.8583  0.5740  4 Sn 2.86-2.98, 2 Li 2.88-3.13
Li  0.2161  0.1417  0.4260  4 Sn 2.86-2.98, 2 Li 2.88-3.13
Li  0.0547  0.6381  0.2524  3 Sn 2.77-2.88, 3 Li 2.88-3.09
Li  0.9453  0.3619  0.7476  3 Sn 2.77-2.88, 3 Li 2.88-3.09
Li  0.3562  0.5896  0.6981  2 Sn 2.75-2.84
Li  0.5000  0.0000  0.0000  2 Na 2.49, 2 Sn 2.71
Li  0.6438  0.4104  0.3019  2 Sn 2.75-2.84
Sn  0.5704  0.2044  0.6548  7 Li 2.71-2.98, 1 Sn 2.92
Sn  0.4296  0.7956  0.3452  7 Li 2.71-2.98, 1 Sn 2.92
Sn  0.6973  0.6465  0.9589  6 Li 2.77-3.09, 1 Sn 2.92
Sn  0.3027  0.3535  0.0411  6 Li 2.77-3.09, 1 Sn 2.92

Results
- M_tot: 0.000 μB/f.u.
- D(E_F): 0.18 states/eV/atom
- SG: C2/m (12)
- Formation energy from the elements: -0.269 eV per atom
- Uncorrected energy: -2.829 eV/atom